Entry 1:
Below is Ba3PdRh after structural relaxation, with properties calculated at the PBE level.

Properties
Its crystal system is monoclinic. The space group is P2_1/m, No. 11.

Cell lengths 4.731, 8.880, 9.120 Å; angles 112.61, 90.00, 90.00 degrees
Last column: magnetic moment on the atom in μB.
Sites, in units of the cell vectors:
Ba  0.750  0.642  0.414  0.00
Ba  0.250  0.358  0.586  0.00
Ba  0.750  0.307  0.915  0.00
Ba  0.250  0.910  0.772  0.00
Ba  0.250  0.693  0.085  0.00
Ba  0.750  0.090  0.228  0.00
Pd  0.250  0.357  0.186  0.00
Pd  0.750  0.643  0.814  0.00
Rh  0.250  0.964  0.452  0.25
Rh  0.750  0.036  0.548  0.25

Entry 2:
Below is BeZnFe2 after structural relaxation, with properties calculated at the PBE level.

Properties
Its crystal system is monoclinic. The space group is P2/m, No. 10.

Cell lengths 3.339, 2.555, 5.764 Å; angles 64.86, 90.00, 90.00 degrees
Last column: magnetic moment on the atom in μB.
Sites, in units of the cell vectors:
Be  0.500  0.750  0.750  -0.08
Zn  0.500  0.250  0.250  -0.06
Fe  0.000  0.014  0.976  2.20
Fe  0.000  0.486  0.524  2.20

no.,energy of formation from the pure elements (kJ/mol of formula units),E (eV per cell)
1,-140,-39.527
2,-7,-21.997